<P>
Entry from the Alexandria database: a relaxed Cu3HgPd6 crystal (PBE).

Lattice parameters (Å, degrees): 8.1738 4.1255 8.9595 90.00 96.51 90.00
Closest atoms and distances in Å follow each position.
Atoms (fractional coordinates):
Cu: 0.0496 0.2500 0.3961  8 Pd 2.57-2.66
Cu: 0.1516 0.7500 0.1833  8 Pd 2.61-2.66, 2 Cu 2.90
Cu: 0.2458 0.2500 0.9814  10 Pd 2.64-2.81, 2 Cu 2.90
Cu: 0.7542 0.7500 0.0186  10 Pd 2.64-2.81, 2 Cu 2.90
Cu: 0.8484 0.2500 0.8167  8 Pd 2.61-2.66, 2 Cu 2.90
Cu: 0.9504 0.7500 0.6039  8 Pd 2.57-2.66
Hg: 0.4416 0.2500 0.6046  10 Pd 2.79-2.97, 2 Hg 3.01
Hg: 0.5584 0.7500 0.3954  10 Pd 2.79-2.97, 2 Hg 3.01
Pd: 0.0346 0.7500 0.8979  7 Cu 2.62-2.74, 5 Pd 2.74-2.91
Pd: 0.1222 0.2500 0.6928  5 Cu 2.57-2.67, 2 Pd 2.80, 1 Hg 2.81
Pd: 0.2260 0.7500 0.4805  4 Cu 2.58-2.66, 2 Hg 2.86, 1 Pd 2.86
Pd: 0.3307 0.2500 0.2777  4 Cu 2.61-2.67, 3 Pd 2.86-2.88, 2 Hg 2.90
Pd: 0.3375 0.7500 0.7953  8 Pd 2.68-2.86, 2 Cu 2.81, 2 Hg 2.87
Pd: 0.4435 0.7500 0.0897  4 Cu 2.62-2.73, 7 Pd 2.68-2.88, 1 Hg 2.79
Pd: 0.5565 0.2500 0.9103  4 Cu 2.62-2.73, 7 Pd 2.68-2.88, 1 Hg 2.79
Pd: 0.6625 0.2500 0.2047  8 Pd 2.68-2.86, 2 Cu 2.81, 2 Hg 2.87
Pd: 0.6693 0.7500 0.7223  4 Cu 2.61-2.67, 3 Pd 2.86-2.88, 2 Hg 2.90
Pd: 0.7740 0.2500 0.5195  4 Cu 2.58-2.66, 2 Hg 2.86, 1 Pd 2.86
Pd: 0.8778 0.7500 0.3072  5 Cu 2.57-2.67, 2 Pd 2.80, 1 Hg 2.81
Pd: 0.9654 0.2500 0.1021  7 Cu 2.62-2.74, 5 Pd 2.74-2.91

- M_tot: 0.00 μB per formula unit

<Q>
Entry from the Alexandria database: a relaxed Cu3HgPd6 crystal (PBE).

Lattice parameters (Å, degrees): 7.6683 7.6683 5.4004 90.00 90.00 101.63
Closest atoms and distances in Å follow each position.
Atoms (fractional coordinates):
Cu: 0.0028 0.9972 0.5000  6 Pd 2.57-2.69, 2 Cu 2.70, 2 Hg 2.82-2.84
Cu: 0.2503 0.5069 0.4448  1 Cu 2.35, 5 Pd 2.50-2.62
Cu: 0.4931 0.7497 0.4448  1 Cu 2.35, 5 Pd 2.50-2.62
Cu: 0.5069 0.2503 0.9448  1 Cu 2.35, 5 Pd 2.50-2.62
Cu: 0.7497 0.4931 0.9448  1 Cu 2.35, 5 Pd 2.50-2.62
Cu: 0.9972 0.0028 0.0000  6 Pd 2.57-2.69, 2 Cu 2.70, 2 Hg 2.82-2.84
Hg: 0.2088 0.7912 0.7652  7 Pd 2.68-2.95, 4 Cu 2.82-2.85
Hg: 0.7912 0.2088 0.2652  7 Pd 2.68-2.95, 4 Cu 2.82-2.85
Pd: 0.0634 0.4682 0.0354  2 Cu 2.50-2.62, 2 Pd 2.72-2.80
Pd: 0.1904 0.8096 0.2594  4 Cu 2.58-2.69, 2 Hg 2.68-2.74, 2 Pd 2.87
Pd: 0.2078 0.2473 0.7386  4 Cu 2.51-2.63, 3 Pd 2.72-2.74
Pd: 0.2473 0.2078 0.2386  4 Cu 2.51-2.63, 3 Pd 2.72-2.74
Pd: 0.4343 0.5657 0.9954  4 Cu 2.60-2.80, 2 Pd 2.80
Pd: 0.4682 0.0634 0.5354  2 Cu 2.50-2.62, 2 Pd 2.72-2.80
Pd: 0.5318 0.9366 0.0354  2 Cu 2.50-2.62, 2 Pd 2.72-2.80
Pd: 0.5657 0.4343 0.4954  4 Cu 2.60-2.80, 2 Pd 2.80
Pd: 0.7527 0.7922 0.7386  4 Cu 2.51-2.63, 3 Pd 2.72-2.74
Pd: 0.7922 0.7527 0.2386  4 Cu 2.51-2.63, 3 Pd 2.72-2.74
Pd: 0.8096 0.1904 0.7594  4 Cu 2.58-2.69, 2 Hg 2.68-2.74, 2 Pd 2.87
Pd: 0.9366 0.5318 0.5354  2 Cu 2.50-2.62, 2 Pd 2.72-2.80

- M_tot: 0.00 μB per formula unit

Which of them is least stable? Easy: <Q>.

<P>
Entry from the Alexandria database: a relaxed Cu2Hg2Pd crystal (PBE).

Lattice parameters (Å, degrees): 3.4419 3.4419 14.9010 90.00 90.00 90.00
Closest atoms and distances in Å follow each position.
Atoms (fractional coordinates):
Cu: 0.0000 0.5000 0.2500  4 Cu 2.43
Cu: 0.0000 0.5000 0.7500  4 Cu 2.43
Cu: 0.5000 0.0000 0.2500  4 Cu 2.43
Cu: 0.5000 0.0000 0.7500  4 Cu 2.43
Hg: 0.0000 0.0000 0.1059  4 Cu 2.75, 4 Pd 2.90
Hg: 0.0000 0.0000 0.8941  4 Cu 2.75, 4 Pd 2.90
Hg: 0.5000 0.5000 0.3941  4 Cu 2.75, 4 Pd 2.90
Hg: 0.5000 0.5000 0.6059  4 Cu 2.75, 4 Pd 2.90
Pd: 0.0000 0.0000 0.5000  8 Hg 2.90
Pd: 0.5000 0.5000 0.0000  8 Hg 2.90

- M_tot: 0.00 μB per formula unit

<Q>
Entry from the Alexandria database: a relaxed Cu2Hg2Pd crystal (PBE).

Lattice parameters (Å, degrees): 6.7931 6.7931 3.6820 90.00 90.00 90.00
Closest atoms and distances in Å follow each position.
Atoms (fractional coordinates):
Cu: 0.1278 0.3722 0.0000  1 Cu 2.46, 2 Hg 2.66, 2 Pd 2.67
Cu: 0.3722 0.8722 0.0000  1 Cu 2.46, 2 Hg 2.66, 2 Pd 2.67
Cu: 0.6278 0.1278 0.0000  1 Cu 2.46, 2 Hg 2.66, 2 Pd 2.67
Cu: 0.8722 0.6278 0.0000  1 Cu 2.46, 2 Hg 2.66, 2 Pd 2.67
Hg: 0.1730 0.6730 0.5000  6 Cu 2.66-2.77
Hg: 0.3270 0.1730 0.5000  6 Cu 2.66-2.77
Hg: 0.6730 0.8270 0.5000  6 Cu 2.66-2.77
Hg: 0.8270 0.3270 0.5000  6 Cu 2.66-2.77
Pd: 0.0000 0.0000 0.0000  4 Cu 2.67
Pd: 0.5000 0.5000 0.0000  4 Cu 2.67

- M_tot: 0.00 μB per formula unit

Which of them is least stable? Easy: <Q>.

<P>
Entry from the Alexandria database: a relaxed Cu2HgPd8 crystal (PBE).

Lattice parameters (Å, degrees): 7.3323 7.3323 6.3193 106.11 106.11 31.28
Closest atoms and distances in Å follow each position.
Atoms (fractional coordinates):
Cu: 0.2278 0.2278 0.1379  10 Pd 2.67-2.82, 2 Cu 2.82
Cu: 0.7722 0.7722 0.8621  10 Pd 2.67-2.82, 2 Cu 2.82
Hg: 0.5000 0.5000 0.5000  12 Pd 2.81-2.86
Pd: 0.0494 0.0494 0.2236  1 Cu 2.72, 9 Pd 2.77-2.93, 2 Hg 2.85
Pd: 0.1440 0.1440 0.7020  3 Cu 2.67, 7 Pd 2.72-2.93, 2 Hg 2.86
Pd: 0.3153 0.3153 0.5862  8 Pd 2.71-2.86, 3 Cu 2.75-2.82, 1 Hg 2.81
Pd: 0.4023 0.4023 0.0357  3 Cu 2.71-2.72, 8 Pd 2.75-2.92, 1 Hg 2.86
Pd: 0.5977 0.5977 0.9643  3 Cu 2.71-2.72, 8 Pd 2.75-2.92, 1 Hg 2.86
Pd: 0.6847 0.6847 0.4138  8 Pd 2.71-2.86, 3 Cu 2.75-2.82, 1 Hg 2.81
Pd: 0.8560 0.8560 0.2980  3 Cu 2.67, 7 Pd 2.72-2.93, 2 Hg 2.86
Pd: 0.9506 0.9506 0.7764  1 Cu 2.72, 9 Pd 2.77-2.93, 2 Hg 2.85

- M_tot: 0.00 μB per formula unit

<Q>
Entry from the Alexandria database: a relaxed Cu2HgPd8 crystal (PBE).

Lattice parameters (Å, degrees): 6.8206 6.8206 4.6908 102.91 102.91 115.70
Closest atoms and distances in Å follow each position.
Atoms (fractional coordinates):
Cu: 0.1910 0.8091 0.0000  8 Pd 2.50-2.60
Cu: 0.8091 0.1910 0.0000  8 Pd 2.50-2.60
Hg: 0.5000 0.5000 0.5000  8 Pd 2.69-2.96
Pd: 0.0947 0.0947 0.3130  2 Cu 2.58, 4 Pd 2.64-2.81, 1 Hg 2.69
Pd: 0.1753 0.4107 0.8873  2 Cu 2.54-2.60, 4 Pd 2.72-2.81
Pd: 0.2665 0.7335 0.5000  2 Cu 2.50, 1 Hg 2.70, 2 Pd 2.74
Pd: 0.4107 0.1753 0.8873  2 Cu 2.54-2.60, 4 Pd 2.72-2.81
Pd: 0.5893 0.8247 0.1127  2 Cu 2.54-2.60, 4 Pd 2.72-2.81
Pd: 0.7335 0.2665 0.5000  2 Cu 2.50, 1 Hg 2.70, 2 Pd 2.74
Pd: 0.8247 0.5893 0.1127  2 Cu 2.54-2.60, 4 Pd 2.72-2.81
Pd: 0.9053 0.9053 0.6870  2 Cu 2.58, 4 Pd 2.64-2.81, 1 Hg 2.69

- M_tot: 0.00 μB per formula unit

Which of them is least stable? Easy: <Q>.

<P>
Entry from the Alexandria database: a relaxed CuHg2Pd6 crystal (PBE).

Lattice parameters (Å, degrees): 5.4137 5.4137 6.3612 104.52 104.52 62.31
Closest atoms and distances in Å follow each position.
Atoms (fractional coordinates):
Cu: 0.0000 0.0000 0.0000  6 Pd 2.59-2.63, 2 Hg 2.85
Hg: 0.3183 0.3183 0.2025  9 Pd 2.74-2.98, 1 Cu 2.85
Hg: 0.6817 0.6817 0.7975  9 Pd 2.74-2.98, 1 Cu 2.85
Pd: 0.1564 0.6514 0.6366  1 Cu 2.63, 7 Pd 2.77-2.87, 2 Hg 2.84-2.92
Pd: 0.1821 0.1821 0.7582  1 Cu 2.59, 3 Hg 2.74-2.81, 6 Pd 2.77-2.84
Pd: 0.3486 0.8436 0.3634  1 Cu 2.63, 7 Pd 2.77-2.87, 2 Hg 2.84-2.92
Pd: 0.6514 0.1564 0.6366  1 Cu 2.63, 7 Pd 2.77-2.87, 2 Hg 2.84-2.92
Pd: 0.8179 0.8179 0.2418  1 Cu 2.59, 3 Hg 2.74-2.81, 6 Pd 2.77-2.84
Pd: 0.8436 0.3486 0.3634  1 Cu 2.63, 7 Pd 2.77-2.87, 2 Hg 2.84-2.92

- M_tot: 0.00 μB per formula unit

<Q>
Entry from the Alexandria database: a relaxed CuHg2Pd6 crystal (PBE).

Lattice parameters (Å, degrees): 4.4731 4.4731 8.3054 94.78 94.78 63.32
Closest atoms and distances in Å follow each position.
Atoms (fractional coordinates):
Cu: 0.0000 0.0000 0.0000  8 Pd 2.73-2.78, 2 Hg 3.03
Hg: 0.3374 0.3374 0.2267  9 Pd 2.73-2.96, 1 Cu 3.03
Hg: 0.6626 0.6626 0.7733  9 Pd 2.73-2.96, 1 Cu 3.03
Pd: 0.0047 0.0047 0.3305  1 Cu 2.74, 3 Hg 2.75-2.77, 6 Pd 2.78-3.01
Pd: 0.3290 0.3290 0.8969  3 Cu 2.73-2.78, 4 Hg 2.73-2.83, 3 Pd 2.81-3.01
Pd: 0.3296 0.3296 0.5582  2 Hg 2.76-2.96, 8 Pd 2.77-2.96
Pd: 0.6704 0.6704 0.4418  2 Hg 2.76-2.96, 8 Pd 2.77-2.96
Pd: 0.6710 0.6710 0.1031  3 Cu 2.73-2.78, 4 Hg 2.73-2.83, 3 Pd 2.81-3.01
Pd: 0.9953 0.9953 0.6695  1 Cu 2.74, 3 Hg 2.75-2.77, 6 Pd 2.78-3.01

- M_tot: 0.00 μB per formula unit

Which of them is least stable? Easy: <P>.

<P>
Entry from the Alexandria database: a relaxed Cu6HgPd12 crystal (PBE).

Lattice parameters (Å, degrees): 7.1752 7.1752 7.1752 106.92 106.92 106.92
Closest atoms and distances in Å follow each position.
Atoms (fractional coordinates):
Cu: 0.2983 0.2983 0.7015  8 Pd 2.53-2.78
Cu: 0.2983 0.7015 0.2983  8 Pd 2.53-2.78
Cu: 0.2985 0.7017 0.7017  8 Pd 2.53-2.78
Cu: 0.7015 0.2983 0.2983  8 Pd 2.53-2.78
Cu: 0.7017 0.2985 0.7017  8 Pd 2.53-2.78
Cu: 0.7017 0.7017 0.2985  8 Pd 2.53-2.78
Hg: 0.0000 0.0000 0.0000  6 Pd 2.79
Pd: 0.1177 0.5000 0.8823  4 Cu 2.54-2.61, 3 Pd 2.69-2.71
Pd: 0.1177 0.8823 0.5000  4 Cu 2.54-2.61, 3 Pd 2.69-2.71
Pd: 0.1207 0.3633 0.3633  4 Cu 2.53-2.78, 4 Pd 2.69-2.80, 1 Hg 2.79
Pd: 0.3633 0.1207 0.3633  4 Cu 2.53-2.78, 4 Pd 2.69-2.80, 1 Hg 2.79
Pd: 0.3633 0.3633 0.1207  4 Cu 2.53-2.78, 4 Pd 2.69-2.80, 1 Hg 2.79
Pd: 0.5000 0.1177 0.8823  4 Cu 2.54-2.61, 3 Pd 2.69-2.71
Pd: 0.5000 0.8823 0.1177  4 Cu 2.54-2.61, 3 Pd 2.69-2.71
Pd: 0.6367 0.6367 0.8793  4 Cu 2.53-2.78, 4 Pd 2.69-2.80, 1 Hg 2.79
Pd: 0.6367 0.8793 0.6367  4 Cu 2.53-2.78, 4 Pd 2.69-2.80, 1 Hg 2.79
Pd: 0.8793 0.6367 0.6367  4 Cu 2.53-2.78, 4 Pd 2.69-2.80, 1 Hg 2.79
Pd: 0.8823 0.1177 0.5000  4 Cu 2.54-2.61, 3 Pd 2.69-2.71
Pd: 0.8823 0.5000 0.1177  4 Cu 2.54-2.61, 3 Pd 2.69-2.71

- M_tot: 0.00 μB per formula unit

<Q>
Entry from the Alexandria database: a relaxed Cu6HgPd12 crystal (PBE).

Lattice parameters (Å, degrees): 7.2854 7.2854 7.2854 110.95 110.95 110.95
Closest atoms and distances in Å follow each position.
Atoms (fractional coordinates):
Cu: 0.0495 0.3627 0.5758  9 Pd 2.69-2.81, 3 Cu 2.74-2.79
Cu: 0.3627 0.5758 0.0495  9 Pd 2.69-2.81, 3 Cu 2.74-2.79
Cu: 0.4242 0.9505 0.6373  9 Pd 2.69-2.81, 3 Cu 2.74-2.79
Cu: 0.5758 0.0495 0.3627  9 Pd 2.69-2.81, 3 Cu 2.74-2.79
Cu: 0.6373 0.4242 0.9505  9 Pd 2.69-2.81, 3 Cu 2.74-2.79
Cu: 0.9505 0.6373 0.4242  9 Pd 2.69-2.81, 3 Cu 2.74-2.79
Hg: 0.0000 0.0000 0.0000  12 Pd 2.82
Pd: 0.1122 0.7355 0.1668  6 Pd 2.67-2.86, 5 Cu 2.71-2.74, 1 Hg 2.82
Pd: 0.1668 0.1122 0.7355  6 Pd 2.67-2.86, 5 Cu 2.71-2.74, 1 Hg 2.82
Pd: 0.2088 0.4823 0.3270  7 Pd 2.67-2.86, 4 Cu 2.69-2.81, 1 Hg 2.82
Pd: 0.2645 0.8332 0.8878  6 Pd 2.67-2.86, 5 Cu 2.71-2.74, 1 Hg 2.82
Pd: 0.3270 0.2088 0.4823  7 Pd 2.67-2.86, 4 Cu 2.69-2.81, 1 Hg 2.82
Pd: 0.4823 0.3270 0.2088  7 Pd 2.67-2.86, 4 Cu 2.69-2.81, 1 Hg 2.82
Pd: 0.5177 0.6730 0.7912  7 Pd 2.67-2.86, 4 Cu 2.69-2.81, 1 Hg 2.82
Pd: 0.6730 0.7912 0.5177  7 Pd 2.67-2.86, 4 Cu 2.69-2.81, 1 Hg 2.82
Pd: 0.7355 0.1668 0.1122  6 Pd 2.67-2.86, 5 Cu 2.71-2.74, 1 Hg 2.82
Pd: 0.7912 0.5177 0.6730  7 Pd 2.67-2.86, 4 Cu 2.69-2.81, 1 Hg 2.82
Pd: 0.8332 0.8878 0.2645  6 Pd 2.67-2.86, 5 Cu 2.71-2.74, 1 Hg 2.82
Pd: 0.8878 0.2645 0.8332  6 Pd 2.67-2.86, 5 Cu 2.71-2.74, 1 Hg 2.82

- M_tot: 0.00 μB per formula unit

Which of them is least stable? Easy: <P>.